Record 1
Here is a geometry-optimized PmMgCoH6 structure from the Alexandria database. Energies are from PBE-GGA.

Lattice parameters (Å, degrees): 4.523 4.523 4.380 90.00 90.00 120.00
Fractional positions:
Pm 0.000 0.000 0.000
Mg 0.333 0.667 0.500
Co 0.667 0.333 0.500
H 0.525 0.051 0.234
H 0.525 0.051 0.766
H 0.525 0.475 0.234
H 0.525 0.475 0.766
H 0.949 0.475 0.234
H 0.949 0.475 0.766

Record 2
Here is a geometry-optimized PmMgCo2H8 structure from the Alexandria database. Energies are from PBE-GGA.

Lattice parameters (Å, degrees): 6.003 6.003 6.003 44.64 44.64 44.64
Fractional positions:
Pm 0.000 0.000 0.000
Mg 0.500 0.500 0.500
Co 0.196 0.196 0.196
Co 0.804 0.804 0.804
H 0.086 0.401 0.872
H 0.128 0.914 0.599
H 0.297 0.297 0.297
H 0.401 0.872 0.086
H 0.599 0.128 0.914
H 0.703 0.703 0.703
H 0.872 0.086 0.401
H 0.914 0.599 0.128

DFT total energy (computed, eV/atom): -4.041 -4.172